# PBE AcBeCl6, relaxed
# Total energy, eV/atom: -3.79
# Total magnetization, μB per atom: 0.133
# Formation energy from raw total energies, eV/atom: -1.427
data_AcBeCl6
_chemical_formula_sum 'Ac1 Be1 Cl6'
_cell_length_a 6.431
_cell_length_b 6.459
_cell_length_c 6.939
_cell_angle_alpha 90.25
_cell_angle_beta 117.06
_cell_angle_gamma 119.73
_space_group_name_H-M_alt 'P -1'
_space_group_IT_number 2
loop_
_space_group_symop_operation_xyz
'x,y,z'
'-x,-y,-z'
loop_
_atom_site_label
_atom_site_fract_x
_atom_site_fract_y
_atom_site_fract_z
Ac1 0.000 0.000 0.000
Be1 0.000 0.500 0.500
Cl1 0.151 0.450 0.277
Cl2 0.168 0.295 0.719
Cl3 0.426 0.872 0.723